Entry 1:
! Sc3Ta (PBE, optimized geometry); values from VASP
&SYSTEM
  ibrav = 0, nat = 4, ntyp = 2
/
ATOMIC_SPECIES
Sc 44.96 Sc.upf
Ta 180.95 Ta.upf
CELL_PARAMETERS angstrom
3.0453 0.0000 0.0000
0.0000 3.0453 0.0000
0.0000 0.0000 9.6316
ATOMIC_POSITIONS angstrom
Sc 0.0000 0.0000 0.0000
Sc 1.5227 1.5227 2.6464
Sc 1.5227 1.5227 6.9851
Ta 0.0000 0.0000 4.8158
! Density of states at the Fermi level   1.571 states/eV per atom
! ΔH_f (0 K)   12.8 kJ/mol of atoms
! M_tot   0.0000 μB/atom
! DFT total energy   -30.318 eV/cell
! Relative energy among the computed polymorphs   21 meV/atom

Entry 2:
! CsMg2NpBr8 (PBE, optimized geometry); values from VASP
&SYSTEM
  ibrav = 0, nat = 12, ntyp = 4
/
ATOMIC_SPECIES
Cs 132.91 Cs.upf
Mg 24.30 Mg.upf
Np 237.00 Np.upf
Br 79.90 Br.upf
CELL_PARAMETERS angstrom
3.5061 2.0243 11.0248
-3.5061 2.0243 11.0248
0.0000 -4.0485 11.0248
ATOMIC_POSITIONS angstrom
Cs 0.0000 0.0000 0.0000
Mg 0.0000 0.0000 8.1400
Mg 0.0000 0.0000 24.9344
Np 0.0000 0.0000 16.5372
Br -1.1059 -2.0406 14.7841
Br -2.3202 -0.0626 18.2904
Br 0.0000 0.0000 10.5747
Br -1.2143 1.9780 14.7841
Br 1.2143 -1.9780 18.2904
Br 0.0000 0.0000 22.4998
Br 2.3202 0.0626 14.7841
Br 1.1059 2.0406 18.2904
! Density of states at the Fermi level   0.408 states/eV per atom
! M_tot   0.3333 μB/atom
! DFT total energy   -47.606 eV/cell
! Raw formation energy   -1.44 eV/atom

Entry 3:
! VTcRh6 (PBE, optimized geometry); values from VASP
&SYSTEM
  ibrav = 0, nat = 8, ntyp = 3
/
ATOMIC_SPECIES
V 50.94 V.upf
Tc 98.00 Tc.upf
Rh 102.91 Rh.upf
CELL_PARAMETERS angstrom
2.7033 -4.8567 0.0000
2.7033 4.8567 0.0000
-2.6533 0.0000 4.6520
ATOMIC_POSITIONS angstrom
V 0.0000 0.0000 0.0000
Tc -1.3267 0.0000 2.3260
Rh 0.6929 2.6767 3.4923
Rh 2.0604 2.6767 1.1597
Rh 1.9455 0.0000 1.1356
Rh 0.8078 0.0000 3.5164
Rh 0.6929 -2.6767 3.4923
Rh 2.0604 -2.6767 1.1597
! Density of states at the Fermi level   1.057 states/eV per atom
! ΔH_f (0 K)   28.9 kJ/mol of atoms
! M_tot   0.0000 μB/atom
! DFT total energy   -61.199 eV/cell
! Relative energy among the computed polymorphs   501 meV/atom

Entry 4:
! Sr2MoAs (PBE, optimized geometry); values from VASP
&SYSTEM
  ibrav = 0, nat = 4, ntyp = 3
/
ATOMIC_SPECIES
Sr 87.62 Sr.upf
Mo 95.94 Mo.upf
As 74.92 As.upf
CELL_PARAMETERS angstrom
-1.8854 2.7028 5.5256
1.8854 -2.7028 5.5256
1.8854 2.7028 -5.5256
ATOMIC_POSITIONS angstrom
Sr 0.0000 0.0000 0.0000
Sr 0.0000 2.7028 2.1826
Mo 0.0000 0.0000 4.3027
As 1.8854 0.0000 2.7149
! Density of states at the Fermi level   0.904 states/eV per atom
! ΔH_f (0 K)   7.4 kJ/mol of atoms
! M_tot   0.2344 μB/atom
! DFT total energy   -18.539 eV/cell

Entry 5:
! Er2TiGa (PBE, optimized geometry); values from VASP
&SYSTEM
  ibrav = 0, nat = 4, ntyp = 3
/
ATOMIC_SPECIES
Er 167.26 Er.upf
Ti 47.87 Ti.upf
Ga 69.72 Ga.upf
CELL_PARAMETERS angstrom
3.3950 0.0000 0.0000
0.0000 3.3950 0.0000
0.0000 0.0000 8.0225
ATOMIC_POSITIONS angstrom
Er 0.0000 0.0000 1.9234
Er 0.0000 0.0000 6.0990
Ti 1.6975 1.6975 4.0112
Ga 1.6975 1.6975 0.0000
! Density of states at the Fermi level   0.883 states/eV per atom
! ΔH_f (0 K)   -16.2 kJ/mol of atoms
! M_tot   0.0001 μB/atom
! DFT total energy   -20.717 eV/cell
! Relative energy among the computed polymorphs   0 meV/atom

Entry 6:
! Na2Ca2TcO6 (PBE, optimized geometry); values from VASP
&SYSTEM
  ibrav = 0, nat = 11, ntyp = 4
/
ATOMIC_SPECIES
Na 22.99 Na.upf
Ca 40.08 Ca.upf
Tc 98.00 Tc.upf
O 16.00 O.upf
CELL_PARAMETERS angstrom
2.9106 -4.8708 0.0000
2.9106 4.8708 0.0000
-1.7315 0.0000 5.6031
ATOMIC_POSITIONS angstrom
Na 2.9106 3.3589 0.0000
Na 2.9106 -3.3589 0.0000
Ca 2.0448 1.5813 2.8016
Ca 2.0448 -1.5813 2.8016
Tc -0.8658 0.0000 2.8016
O -0.0620 1.4140 3.8950
O 0.7562 0.0000 1.6797
O -0.0620 -1.4140 3.8950
O 4.1517 1.4140 1.7082
O 3.3334 0.0000 3.9235
O 4.1517 -1.4140 1.7082
! Density of states at the Fermi level   0.512 states/eV per atom
! M_tot   0.0914 μB/atom
! DFT total energy   -69.085 eV/cell
! Raw formation energy   -2.03 eV/atom

Entry 7:
! Ni3PbC (PBE, optimized geometry); values from VASP
&SYSTEM
  ibrav = 0, nat = 5, ntyp = 3
/
ATOMIC_SPECIES
Ni 58.69 Ni.upf
Pb 207.20 Pb.upf
C 12.01 C.upf
CELL_PARAMETERS angstrom
3.9470 0.0000 0.0000
0.0000 3.9470 0.0000
0.0000 0.0000 3.9470
ATOMIC_POSITIONS angstrom
Ni 0.0000 0.0000 1.9735
Ni 0.0000 1.9735 0.0000
Ni 1.9735 0.0000 0.0000
Pb 1.9735 1.9735 1.9735
C 0.0000 0.0000 0.0000
! Density of states at the Fermi level   0.611 states/eV per atom
! ΔH_f (0 K)   21.6 kJ/mol of atoms
! M_tot   0.0000 μB/atom
! DFT total energy   -29.155 eV/cell
! Relative energy among the computed polymorphs   0 meV/atom

Entry 8:
! NaCa2TlF (PBE, optimized geometry); values from VASP
&SYSTEM
  ibrav = 0, nat = 5, ntyp = 4
/
ATOMIC_SPECIES
Na 22.99 Na.upf
Ca 40.08 Ca.upf
Tl 204.38 Tl.upf
F 19.00 F.upf
CELL_PARAMETERS angstrom
5.0358 0.0000 0.0000
0.0000 5.0358 0.0000
0.0000 0.0000 4.7543
ATOMIC_POSITIONS angstrom
Na 0.0000 0.0000 0.0000
Ca 0.0000 2.5179 2.3772
Ca 2.5179 0.0000 2.3772
Tl 2.5179 2.5179 0.0000
F 0.0000 0.0000 2.3772
! Density of states at the Fermi level   0.444 states/eV per atom
! M_tot   0.0000 μB/atom
! DFT total energy   -15.857 eV/cell
! Raw formation energy   -1.26 eV/atom

Entry 9:
! Zr2InSb (PBE, optimized geometry); values from VASP
&SYSTEM
  ibrav = 0, nat = 4, ntyp = 3
/
ATOMIC_SPECIES
Zr 91.22 Zr.upf
In 114.82 In.upf
Sb 121.76 Sb.upf
CELL_PARAMETERS angstrom
5.0184 -1.6885 0.0000
5.0184 1.6885 0.0000
-1.1375 0.0000 5.4662
ATOMIC_POSITIONS angstrom
Zr 2.1932 0.0000 1.3572
Zr 6.7060 0.0000 4.1090
In -0.5688 0.0000 2.7331
Sb 5.0184 0.0000 0.0000
! Density of states at the Fermi level   0.905 states/eV per atom
! M_tot   0.0000 μB/atom
! DFT total energy   -24.968 eV/cell
! Raw formation energy   -0.25 eV/atom
! Relative energy among the computed polymorphs   134 meV/atom

Entry 10:
! CdAsOsRu2 (PBE, optimized geometry); values from VASP
&SYSTEM
  ibrav = 0, nat = 5, ntyp = 4
/
ATOMIC_SPECIES
Cd 112.41 Cd.upf
As 74.92 As.upf
Os 190.23 Os.upf
Ru 101.07 Ru.upf
CELL_PARAMETERS angstrom
4.8763 0.0000 0.0000
0.0000 4.8763 0.0000
0.0000 0.0000 4.9128
ATOMIC_POSITIONS angstrom
Cd 0.0000 0.0000 0.0000
As 2.4382 2.4382 2.4564
Os 0.0000 0.0000 2.4564
Ru 0.0000 2.4382 0.0000
Ru 2.4382 0.0000 0.0000
! Density of states at the Fermi level   1.477 states/eV per atom
! ΔH_f (0 K)   247.5 kJ/mol of atoms
! M_tot   1.2033 μB/atom
! DFT total energy   -22.523 eV/cell

Entry 11:
! TaSbCl2 (PBE, optimized geometry); values from VASP
&SYSTEM
  ibrav = 0, nat = 4, ntyp = 3
/
ATOMIC_SPECIES
Ta 180.95 Ta.upf
Sb 121.76 Sb.upf
Cl 35.45 Cl.upf
CELL_PARAMETERS angstrom
4.8448 0.0000 0.0000
0.0000 5.4804 0.0000
0.0000 0.0000 3.2587
ATOMIC_POSITIONS angstrom
Ta 0.0000 0.0000 0.0000
Sb 0.0000 2.7402 1.0031
Cl 2.4224 0.0000 0.0829
Cl 2.4224 2.7402 1.8752
! Density of states at the Fermi level   0.675 states/eV per atom
! M_tot   0.0000 μB/atom
! DFT total energy   -19.826 eV/cell
! Raw formation energy   -0.04 eV/atom
! Relative energy among the computed polymorphs   560 meV/atom

Entry 12:
! Re3PtW (PBE, optimized geometry); values from VASP
&SYSTEM
  ibrav = 0, nat = 5, ntyp = 3
/
ATOMIC_SPECIES
Re 186.21 Re.upf
Pt 195.08 Pt.upf
W 183.84 W.upf
CELL_PARAMETERS angstrom
4.6608 0.0000 0.0000
0.0000 4.6608 0.0000
0.0000 0.0000 4.6608
ATOMIC_POSITIONS angstrom
Re 0.0000 0.0000 2.3304
Re 0.0000 2.3304 0.0000
Re 2.3304 0.0000 0.0000
Pt 0.0000 0.0000 0.0000
W 2.3304 2.3304 2.3304
! Density of states at the Fermi level   1.605 states/eV per atom
! ΔH_f (0 K)   260.5 kJ/mol of atoms
! M_tot   0.0000 μB/atom
! DFT total energy   -42.837 eV/cell
! Relative energy among the computed polymorphs   377 meV/atom

Entry 13:
! Pm4AuSe2S (PBE, optimized geometry); values from VASP
&SYSTEM
  ibrav = 0, nat = 8, ntyp = 4
/
ATOMIC_SPECIES
Pm 145.00 Pm.upf
Au 196.97 Au.upf
Se 78.96 Se.upf
S 32.06 S.upf
CELL_PARAMETERS angstrom
7.3089 0.0000 0.0000
0.0000 4.1199 0.0000
-2.3856 0.0000 6.9098
ATOMIC_POSITIONS angstrom
Pm 1.2012 0.0000 1.6487
Pm 0.0016 2.0599 5.2061
Pm 4.9218 2.0599 1.7037
Pm 3.7221 0.0000 5.2611
Au -1.1928 0.0000 3.4549
Se 3.6545 0.0000 0.0000
Se 2.4617 2.0599 3.4549
S 0.0000 2.0599 0.0000
! Density of states at the Fermi level   0.670 states/eV per atom
! M_tot   0.0000 μB/atom
! DFT total energy   -46.252 eV/cell
! Raw formation energy   -1.61 eV/atom